Compound: KNp2F11
Source: Alexandria
Functional: GGA-PBE
Structure: relaxed

## Properties
**Space-group type**: Ibam, No. 72
**Volume**: 20.47 Å³ per atom
**Total moment**: 0.286 μB per atom
**Calculated density**: 4.18 Mg/m³
**ΔE_f (raw)**: -3269.4 meV/atom

Unit cell a=9.129 b=9.129 c=9.129 alpha=116.25 beta=112.62 gamma=99.97
Element x y z (fractional)
K 0.250 0.250 0.000
K 0.750 0.750 0.000
Np 0.163 0.659 0.822
Np 0.337 0.159 0.496
Np 0.663 0.841 0.504
Np 0.837 0.341 0.178
F 0.000 0.500 0.500
F 0.061 0.357 0.170
F 0.104 0.936 0.291
F 0.145 0.436 0.832
F 0.186 0.890 0.830
F 0.197 0.312 0.509
F 0.303 0.812 0.115
F 0.314 0.143 0.704
F 0.355 0.187 0.291
F 0.396 0.687 0.832
F 0.439 0.610 0.296
F 0.500 0.000 0.500
F 0.561 0.390 0.704
F 0.604 0.313 0.168
F 0.645 0.813 0.709
F 0.686 0.857 0.296
F 0.697 0.188 0.885
F 0.803 0.688 0.491
F 0.814 0.110 0.170
F 0.855 0.564 0.168
F 0.896 0.064 0.709
F 0.939 0.643 0.830

---

Compound: KNp2F7
Source: Alexandria
Functional: GGA-PBE
Structure: relaxed

## Properties
**Space-group type**: Cmmm, No. 65
**Energy relative to the lowest polymorph listed for this composition**: 52.8 meV per atom
**Volume**: 20.04 Å³ per atom
**Total moment**: 0.800 μB per atom
**Calculated density**: 5.35 Mg/m³
**ΔE_f (raw)**: -3275.1 meV/atom

Unit cell a=7.027 b=7.027 c=4.547 alpha=90.00 beta=90.00 gamma=116.82
Element x y z (fractional)
K 0.000 0.000 0.000
Np 0.308 0.692 0.500
Np 0.692 0.308 0.500
F 0.046 0.331 0.500
F 0.282 0.718 0.000
F 0.331 0.046 0.500
F 0.500 0.500 0.500
F 0.669 0.954 0.500
F 0.718 0.282 0.000
F 0.954 0.669 0.500

---

Compound: KNp3F10
Source: Alexandria
Functional: GGA-PBE
Structure: relaxed

## Properties
**Space-group type**: Fm-3m, No. 225
**Volume**: 16.20 Å³ per atom
**Total moment**: 0.857 μB per atom
**Calculated density**: 6.88 Mg/m³
**ΔE_f (raw)**: -3344.4 meV/atom

Unit cell a=8.624 b=8.624 c=8.624 alpha=60.00 beta=60.00 gamma=60.00
Element x y z (fractional)
K 0.250 0.250 0.250
K 0.750 0.750 0.750
Np 0.239 0.239 0.761
Np 0.239 0.761 0.239
Np 0.239 0.761 0.761
Np 0.761 0.239 0.239
Np 0.761 0.239 0.761
Np 0.761 0.761 0.239
F 0.114 0.114 0.114
F 0.114 0.114 0.657
F 0.114 0.657 0.114
F 0.168 0.500 0.500
F 0.168 0.500 0.832
F 0.168 0.832 0.500
F 0.343 0.886 0.886
F 0.500 0.168 0.500
F 0.500 0.168 0.832
F 0.500 0.500 0.168
F 0.500 0.500 0.832
F 0.500 0.832 0.168
F 0.500 0.832 0.500
F 0.657 0.114 0.114
F 0.832 0.168 0.500
F 0.832 0.500 0.168
F 0.832 0.500 0.500
F 0.886 0.343 0.886
F 0.886 0.886 0.343
F 0.886 0.886 0.886

---

Compound: KNpF4
Source: Alexandria
Functional: GGA-PBE
Structure: relaxed

## Properties
**Space-group type**: Cmmm, No. 65
**Volume**: 17.23 Å³ per atom
**Total moment**: 0.667 μB per atom
**Calculated density**: 5.65 Mg/m³
**ΔE_f (raw)**: -3271.3 meV/atom

Unit cell a=4.063 b=4.063 c=6.264 alpha=90.00 beta=90.00 gamma=90.74
Element x y z (fractional)
K 0.000 0.000 0.000
Np 0.500 0.500 0.500
F 0.000 0.500 0.288
F 0.000 0.500 0.712
F 0.500 0.000 0.288
F 0.500 0.000 0.712

---

Compound: K2NpF8
Source: Alexandria
Functional: GGA-PBE
Structure: relaxed

## Properties
**Space-group type**: C2/m, No. 12
**Volume**: 15.81 Å³ per atom
**Total moment**: 0.088 μB per atom
**Calculated density**: 4.46 Mg/m³
**ΔE_f (raw)**: -2842.8 meV/atom

Unit cell a=8.335 b=8.335 c=5.545 alpha=108.58 beta=108.58 gamma=28.55
Element x y z (fractional)
K 0.189 0.189 0.192
K 0.811 0.811 0.808
Np 0.500 0.500 0.500
F 0.005 0.005 0.298
F 0.208 0.208 0.718
F 0.395 0.395 0.621
F 0.406 0.406 0.152
F 0.594 0.594 0.848
F 0.605 0.605 0.379
F 0.792 0.792 0.282
F 0.995 0.995 0.702

---

Compound: K6NpF12
Source: Alexandria
Functional: GGA-PBE
Structure: relaxed

## Properties
**Space-group type**: R-3, No. 148
**Energy relative to the lowest polymorph listed for this composition**: 33.4 meV per atom
**Volume**: 19.39 Å³ per atom
**Total moment**: 0.133 μB per atom
**Calculated density**: 3.15 Mg/m³
**ΔE_f (raw)**: -2778.9 meV/atom

Unit cell a=8.121 b=8.121 c=8.121 alpha=112.02 beta=112.02 gamma=112.02
Element x y z (fractional)
K 0.212 0.294 0.728
K 0.272 0.788 0.706
K 0.294 0.728 0.212
K 0.706 0.272 0.788
K 0.728 0.212 0.294
K 0.788 0.706 0.272
Np 0.000 0.000 0.000
F 0.012 0.498 0.742
F 0.048 0.163 0.297
F 0.163 0.297 0.048
F 0.258 0.988 0.502
F 0.297 0.048 0.163
F 0.498 0.742 0.012
F 0.502 0.258 0.988
F 0.703 0.952 0.837
F 0.742 0.012 0.498
F 0.837 0.703 0.952
F 0.952 0.837 0.703
F 0.988 0.502 0.258

---

Compound: K2NpO4F2
Source: Alexandria
Functional: GGA-PBE
Structure: relaxed

## Properties
**Space-group type**: I4/mmm, No. 139
**Volume**: 18.51 Å³ per atom
**Total moment**: 0.118 μB per atom
**Calculated density**: 4.16 Mg/m³
**ΔE_f (raw)**: -2347.8 meV/atom

Unit cell a=6.505 b=6.505 c=6.505 alpha=127.87 beta=127.87 gamma=76.84
Element x y z (fractional)
K 0.250 0.750 0.500
K 0.750 0.250 0.500
Np 0.000 0.000 0.000
O 0.232 0.232 0.464
O 0.232 0.768 0.000
O 0.768 0.232 0.000
O 0.768 0.768 0.536
F 0.223 0.223 0.000
F 0.777 0.777 0.000

---

Compound: K3Np2O5F2
Source: Alexandria
Functional: GGA-PBE
Structure: relaxed

## Properties
**Space-group type**: I4/mmm, No. 139
**Volume**: 17.64 Å³ per atom
**Total moment**: 0.417 μB per atom
**Calculated density**: 5.56 Mg/m³
**ΔE_f (raw)**: -2767.1 meV/atom

Unit cell a=11.807 b=11.807 c=11.807 alpha=158.98 beta=158.98 gamma=29.90
Element x y z (fractional)
K 0.000 0.000 0.000
K 0.187 0.187 0.000
K 0.813 0.813 0.000
Np 0.406 0.406 0.000
Np 0.594 0.594 0.000
O 0.099 0.599 0.500
O 0.401 0.901 0.500
O 0.500 0.500 0.000
O 0.599 0.099 0.500
O 0.901 0.401 0.500
F 0.303 0.303 0.000
F 0.697 0.697 0.000

---

Compound: K2NpO2F2
Source: Alexandria
Functional: GGA-PBE
Structure: relaxed

## Properties
**Space-group type**: I4/mmm, No. 139
**Volume**: 18.91 Å³ per atom
**Total moment**: 0.429 μB per atom
**Calculated density**: 4.83 Mg/m³
**ΔE_f (raw)**: -2793.7 meV/atom

Unit cell a=7.655 b=7.655 c=7.655 alpha=147.03 beta=147.03 gamma=47.32
Element x y z (fractional)
K 0.146 0.146 0.000
K 0.854 0.854 0.000
Np 0.500 0.500 0.000
O 0.000 0.500 0.500
O 0.500 0.000 0.500
F 0.333 0.333 0.000
F 0.667 0.667 0.000

---

Compound: K2NpO2F4
Source: Alexandria
Functional: GGA-PBE
Structure: relaxed

## Properties
**Space-group type**: C2/m, No. 12
**Volume**: 17.48 Å³ per atom
**Total moment**: 0.111 μB per atom
**Calculated density**: 4.47 Mg/m³
**ΔE_f (raw)**: -2967.6 meV/atom

Unit cell a=6.133 b=6.133 c=4.746 alpha=92.84 beta=92.84 gamma=61.99
Element x y z (fractional)
K 0.162 0.162 0.318
K 0.838 0.838 0.682
Np 0.500 0.500 0.000
O 0.366 0.366 0.738
O 0.634 0.634 0.262
F 0.147 0.662 0.213
F 0.338 0.853 0.787
F 0.662 0.147 0.213
F 0.853 0.338 0.787

---

Compound: KRb2NpF8
Source: Alexandria
Functional: GGA-PBE
Structure: relaxed

## Properties
**Space-group type**: I-4m2, No. 119
**Volume**: 19.20 Å³ per atom
**Total moment**: 0.167 μB per atom
**Calculated density**: 4.32 Mg/m³
**ΔE_f (raw)**: -3111.0 meV/atom

Unit cell a=7.414 b=7.414 c=7.414 alpha=130.48 beta=130.48 gamma=72.63
Element x y z (fractional)
K 0.000 0.000 0.000
Rb 0.250 0.750 0.500
Rb 0.500 0.500 0.000
Np 0.750 0.250 0.500
F 0.060 0.150 0.496
F 0.060 0.564 0.910
F 0.436 0.346 0.496
F 0.436 0.940 0.090
F 0.654 0.150 0.090
F 0.654 0.564 0.504
F 0.850 0.346 0.910
F 0.850 0.940 0.504

---

Compound: K2RbNpF8
Source: Alexandria
Functional: GGA-PBE
Structure: relaxed

## Properties
**Space-group type**: I-4m2, No. 119
**Volume**: 18.48 Å³ per atom
**Total moment**: 0.167 μB per atom
**Calculated density**: 4.14 Mg/m³
**ΔE_f (raw)**: -3115.4 meV/atom

Unit cell a=7.434 b=7.434 c=7.434 alpha=132.08 beta=132.08 gamma=70.10
Element x y z (fractional)
K 0.000 0.000 0.000
K 0.750 0.250 0.500
Rb 0.500 0.500 0.000
Np 0.250 0.750 0.500
F 0.141 0.064 0.495
F 0.141 0.646 0.077
F 0.354 0.432 0.495
F 0.354 0.859 0.923
F 0.568 0.064 0.923
F 0.568 0.646 0.505
F 0.936 0.432 0.077
F 0.936 0.859 0.505

---

Compound: KRbNpF6
Source: Alexandria
Functional: GGA-PBE
Structure: relaxed

## Properties
**Space-group type**: P-31c, No. 163
**Volume**: 22.43 Å³ per atom
**Total moment**: 0.333 μB per atom
**Calculated density**: 3.91 Mg/m³
**ΔE_f (raw)**: -3242.2 meV/atom

Unit cell a=6.714 b=6.714 c=10.345 alpha=90.00 beta=90.00 gamma=120.00
Element x y z (fractional)
K 0.333 0.667 0.250
K 0.667 0.333 0.750
Rb 0.000 0.000 0.000
Rb 0.000 0.000 0.500
Np 0.333 0.667 0.750
Np 0.667 0.333 0.250
F 0.058 0.395 0.637
F 0.058 0.662 0.863
F 0.338 0.395 0.863
F 0.338 0.942 0.637
F 0.395 0.058 0.137
F 0.395 0.338 0.363
F 0.605 0.662 0.637
F 0.605 0.942 0.863
F 0.662 0.058 0.363
F 0.662 0.605 0.137
F 0.942 0.338 0.137
F 0.942 0.605 0.363

---

Compound: K2NpS3F3
Source: Alexandria
Functional: GGA-PBE
Structure: relaxed

## Properties
**Space-group type**: P-62m, No. 189
**Volume**: 21.57 Å³ per atom
**Total moment**: 0.001 μB per atom
**Calculated density**: 4.01 Mg/m³
**ΔE_f (raw)**: -1638.1 meV/atom

Unit cell a=7.592 b=7.592 c=3.890 alpha=90.00 beta=90.00 gamma=120.00
Element x y z (fractional)
K 0.333 0.667 0.000
K 0.667 0.333 0.000
Np 0.000 0.000 0.500
S 0.000 0.668 0.500
S 0.332 0.332 0.500
S 0.668 0.000 0.500
F 0.000 0.195 0.000
F 0.195 0.000 0.000
F 0.805 0.805 0.000

---

Compound: K2SrNpF8
Source: Alexandria
Functional: GGA-PBE
Structure: relaxed

## Properties
**Space-group type**: Pmmm, No. 47
**Volume**: 17.41 Å³ per atom
**Total moment**: 0.250 μB per atom
**Calculated density**: 4.41 Mg/m³
**ΔE_f (raw)**: -3411.9 meV/atom

Unit cell a=4.045 b=6.267 c=8.244 alpha=90.00 beta=90.00 gamma=90.00
Element x y z (fractional)
K 0.000 0.000 0.242
K 0.000 0.000 0.758
Sr 0.500 0.500 0.000
Np 0.500 0.500 0.500
F 0.000 0.272 0.000
F 0.000 0.302 0.500
F 0.000 0.698 0.500
F 0.000 0.728 0.000
F 0.500 0.288 0.284
F 0.500 0.288 0.716
F 0.500 0.712 0.284
F 0.500 0.712 0.716

---

Compound: K2NpTlF6
Source: Alexandria
Functional: GGA-PBE
Structure: relaxed

## Properties
**Space-group type**: P2_1/c, No. 14
**Volume**: 21.30 Å³ per atom
**Total moment**: 0.401 μB per atom
**Calculated density**: 4.94 Mg/m³
**ΔE_f (raw)**: -2842.8 meV/atom

Unit cell a=6.579 b=6.878 c=11.328 alpha=90.00 beta=123.80 gamma=90.00
Element x y z (fractional)
K 0.221 0.045 0.231
K 0.221 0.455 0.731
K 0.779 0.545 0.269
K 0.779 0.955 0.769
Np 0.500 0.000 0.000
Np 0.500 0.500 0.500
Tl 0.000 0.000 0.500
Tl 0.000 0.500 0.000
F 0.165 0.164 0.962
F 0.165 0.336 0.462
F 0.245 0.733 0.905
F 0.245 0.767 0.405
F 0.406 0.091 0.779
F 0.406 0.409 0.279
F 0.594 0.591 0.721
F 0.594 0.909 0.221
F 0.755 0.233 0.595
F 0.755 0.267 0.095
F 0.835 0.664 0.538
F 0.835 0.836 0.038